[1]
# SrCeY4Se8

A relaxed structure of SrCeY4Se8 (PBE, Alexandria via LeMat-Bulk).

Computed properties:
Electronic total energy in eV per formula unit: -86.39
Crystal system: trigonal

abc: 8.552 8.552 8.641
angles: 60.34 60.34 60.00
Site moments in Bohr magnetons follow the coordinates.
Positions (direct):
Se 0.751 0.231 0.266  -0.01
Se 0.789 0.242 0.727  -0.01
Se 0.231 0.751 0.266  -0.01
Se 0.758 0.758 0.727  0.00
Se 0.751 0.751 0.266  -0.01
Se 0.236 0.236 0.291  0.00
Se 0.242 0.242 0.727  -0.01
Se 0.242 0.789 0.727  -0.01
Y 0.002 0.002 0.501  0.04
Y 0.496 0.002 0.501  0.04
Y 0.626 0.626 0.123  0.05
Y 0.002 0.496 0.501  0.04
Sr 0.374 0.374 0.878  0.00
Ce 0.001 0.001 0.997  1.07

***

[2]
# Sr2CeYSe4

A relaxed structure of Sr2CeYSe4 (PBE, Alexandria via LeMat-Bulk).

Computed properties:
Electronic total energy in eV per formula unit: -44.73
Crystal system: monoclinic

abc: 4.254 7.370 7.535
angles: 108.98 90.00 90.00
Site moments in Bohr magnetons follow the coordinates.
Positions (direct):
Se 0.500 0.239 0.234  0.00
Se 0.000 0.752 0.238  -0.01
Se 0.000 0.248 0.762  -0.01
Se 0.500 0.761 0.766  0.00
Ce 0.500 0.500 0.000  1.06
Sr 0.000 0.500 0.500  0.01
Sr 0.500 0.000 0.500  0.01
Y 0.000 0.000 0.000  0.07

***

For the records above, the corresponding energy relative to the elements, uncorrected values read -1.79 -1.88 eV per atom.